! InMoS2 | the Alexandria database | GGA-PBE | optimized geometry; values from VASP
! mass density = 5.4 g/cm³
! symmetry = R-3m, No. 166
! crystal system = trigonal
&SYSTEM
  ibrav = 0, nat = 4, ntyp = 3
/
ATOMIC_SPECIES
Mo 95.94 Mo.upf
S 32.06 S.upf
In 114.82 In.upf
ATOMIC_POSITIONS angstrom
Mo 0.000 0.000 0.000
S -7.530 -3.927 19.635
S -0.809 -0.422 2.111
In -4.170 -2.174 10.873
CELL_PARAMETERS angstrom
-2.929 0.542 7.590
-4.343 -2.459 6.447
-1.069 -2.431 7.708

---

! InMoS2 | the Alexandria database | GGA-PBE | optimized geometry; values from VASP
! mass density = 5.6 g/cm³
! symmetry = R-3m, No. 166
! crystal system = trigonal
&SYSTEM
  ibrav = 0, nat = 4, ntyp = 3
/
ATOMIC_SPECIES
Mo 95.94 Mo.upf
S 32.06 S.upf
In 114.82 In.upf
ATOMIC_POSITIONS angstrom
Mo 0.000 0.000 13.553
S 0.000 0.000 24.159
S 0.000 0.000 2.946
In 0.000 0.000 0.000
CELL_PARAMETERS angstrom
1.870 0.000 9.035
-0.935 1.619 9.035
-0.935 -1.619 9.035

---

! In2Mo2S | the Alexandria database | GGA-PBE | optimized geometry; values from VASP
! mass density = 7.5 g/cm³
! symmetry = I4/mmm, No. 139
! crystal system = tetragonal
! excess energy over the best structure of this formula in the dataset = 634 meV/atom
&SYSTEM
  ibrav = 0, nat = 5, ntyp = 3
/
ATOMIC_SPECIES
Mo 95.94 Mo.upf
S 32.06 S.upf
In 114.82 In.upf
ATOMIC_POSITIONS angstrom
Mo 1.911 1.911 1.177
Mo 3.821 3.821 5.709
S 0.000 0.000 0.000
In 3.821 1.911 3.443
In 1.911 3.821 3.443
CELL_PARAMETERS angstrom
3.821 0.000 0.000
0.000 3.821 0.000
1.911 1.911 6.886

---

! InMo2S | the Alexandria database | GGA-PBE | optimized geometry; values from VASP
! mass density = 8.6 g/cm³
! symmetry = Fm-3m, No. 225
! crystal system = cubic
! excess energy over the best structure of this formula in the dataset = 79 meV/atom
&SYSTEM
  ibrav = 0, nat = 4, ntyp = 3
/
ATOMIC_SPECIES
Mo 95.94 Mo.upf
S 32.06 S.upf
In 114.82 In.upf
ATOMIC_POSITIONS angstrom
Mo -2.315 0.184 -1.500
Mo -6.944 0.551 -4.501
S 0.000 0.000 0.000
In -4.629 0.367 -3.000
CELL_PARAMETERS angstrom
-3.937 -1.988 -0.960
-3.650 2.516 -0.852
-1.671 0.207 -4.188

---

! In3MoS | the Alexandria database | GGA-PBE | optimized geometry; values from VASP
! mass density = 6.2 g/cm³
! symmetry = Pm-3m, No. 221
! crystal system = cubic
! excess energy over the best structure of this formula in the dataset = 380 meV/atom
&SYSTEM
  ibrav = 0, nat = 5, ntyp = 3
/
ATOMIC_SPECIES
Mo 95.94 Mo.upf
S 32.06 S.upf
In 114.82 In.upf
ATOMIC_POSITIONS angstrom
Mo 0.120 1.813 3.960
S 0.000 0.000 0.000
In 0.232 -1.257 2.166
In 1.714 1.666 0.783
In -1.826 1.404 1.010
CELL_PARAMETERS angstrom
-3.652 2.808 2.020
0.464 -2.514 4.333
3.428 3.332 1.566

---

! InMo6S8 | the Alexandria database | GGA-PBE | optimized geometry; values from VASP
! mass density = 5.5 g/cm³
! symmetry = R-3, No. 148
! crystal system = trigonal
&SYSTEM
  ibrav = 0, nat = 15, ntyp = 3
/
ATOMIC_SPECIES
In 114.82 In.upf
Mo 95.94 Mo.upf
S 32.06 S.upf
ATOMIC_POSITIONS angstrom
In 0.000 0.000 0.000
Mo 5.088 3.828 2.873
Mo 2.874 5.088 3.827
Mo 3.829 2.874 5.087
Mo 1.454 2.714 3.668
Mo 3.668 1.454 2.713
Mo 2.714 3.668 1.453
S 4.978 4.977 4.976
S 1.565 1.564 1.564
S 1.716 4.064 5.720
S 5.721 1.716 4.063
S 4.064 5.720 1.715
S 4.826 2.478 0.820
S 0.822 4.826 2.477
S 2.478 0.821 4.826
CELL_PARAMETERS angstrom
6.579 -0.019 -0.019
-0.018 6.579 -0.019
-0.018 -0.018 6.579

---

! InMo2S | the Alexandria database | GGA-PBE | optimized geometry; values from VASP
! mass density = 7.4 g/cm³
! symmetry = I-42d, No. 122
! crystal system = tetragonal
! excess energy over the best structure of this formula in the dataset = 0 meV/atom
&SYSTEM
  ibrav = 0, nat = 8, ntyp = 3
/
ATOMIC_SPECIES
Mo 95.94 Mo.upf
S 32.06 S.upf
In 114.82 In.upf
ATOMIC_POSITIONS angstrom
Mo 2.765 1.020 2.274
Mo 1.317 3.061 2.274
Mo 3.061 3.358 6.823
Mo 5.102 4.806 6.823
S 2.041 2.041 0.000
S 2.041 4.082 4.549
In 0.000 0.000 0.000
In 4.082 2.041 4.549
CELL_PARAMETERS angstrom
4.082 0.000 0.000
0.000 4.082 0.000
2.041 2.041 9.097

---

! InMoS2 | the Alexandria database | GGA-PBE | optimized geometry; values from VASP
! mass density = 4.2 g/cm³
! symmetry = I-42d, No. 122
! crystal system = tetragonal
&SYSTEM
  ibrav = 0, nat = 8, ntyp = 3
/
ATOMIC_SPECIES
Mo 95.94 Mo.upf
S 32.06 S.upf
In 114.82 In.upf
ATOMIC_POSITIONS angstrom
Mo 3.314 3.314 0.000
Mo 3.314 6.628 2.449
S 4.298 1.657 1.224
S 2.331 4.971 1.224
S 4.971 5.645 3.673
S 8.286 7.612 3.673
In 0.000 0.000 0.000
In 6.628 3.314 2.449
CELL_PARAMETERS angstrom
6.628 0.000 0.000
0.000 6.628 0.000
3.314 3.314 4.897

---

! In3MoS | the Alexandria database | GGA-PBE | optimized geometry; values from VASP
! mass density = 5.1 g/cm³
! symmetry = Pm-3m, No. 221
! crystal system = cubic
! excess energy over the best structure of this formula in the dataset = 0 meV/atom
&SYSTEM
  ibrav = 0, nat = 5, ntyp = 3
/
ATOMIC_SPECIES
Mo 95.94 Mo.upf
S 32.06 S.upf
In 114.82 In.upf
ATOMIC_POSITIONS angstrom
Mo 0.000 0.000 0.000
S 2.678 2.678 2.678
In 0.000 2.678 0.000
In 0.000 0.000 2.678
In 2.678 0.000 0.000
CELL_PARAMETERS angstrom
5.357 0.000 0.000
0.000 5.357 0.000
0.000 0.000 5.357

---

! InMoS3 | the Alexandria database | GGA-PBE | optimized geometry; values from VASP
! mass density = 4.2 g/cm³
! symmetry = Pm-3m, No. 221
! crystal system = cubic
! excess energy over the best structure of this formula in the dataset = 1122 meV/atom
&SYSTEM
  ibrav = 0, nat = 5, ntyp = 3
/
ATOMIC_SPECIES
Mo 95.94 Mo.upf
S 32.06 S.upf
In 114.82 In.upf
ATOMIC_POSITIONS angstrom
Mo 2.474 2.474 2.474
S 0.000 2.474 0.000
S 0.000 0.000 2.474
S 2.474 0.000 0.000
In 0.000 0.000 0.000
CELL_PARAMETERS angstrom
4.947 0.000 0.000
0.000 4.947 0.000
0.000 0.000 4.947

---

! In2Mo2S | the Alexandria database | GGA-PBE | optimized geometry; values from VASP
! mass density = 8.0 g/cm³
! symmetry = P4/mbm, No. 127
! crystal system = tetragonal
! excess energy over the best structure of this formula in the dataset = 0 meV/atom
&SYSTEM
  ibrav = 0, nat = 10, ntyp = 3
/
ATOMIC_SPECIES
Mo 95.94 Mo.upf
S 32.06 S.upf
In 114.82 In.upf
ATOMIC_POSITIONS angstrom
Mo -3.857 -4.266 -0.196
Mo -5.821 -2.410 -2.212
Mo -3.566 0.094 -2.102
Mo -1.603 -1.762 -0.087
S 0.000 0.000 0.000
S -3.712 -2.086 -1.149
In -3.604 -2.578 2.161
In -6.482 -2.782 0.598
In -6.050 0.245 -0.593
In -3.173 0.449 0.970
CELL_PARAMETERS angstrom
-4.945 1.418 -3.527
-2.479 -5.590 1.228
-2.231 1.839 3.867

---

! InMoS3 | the Alexandria database | GGA-PBE | optimized geometry; values from VASP
! mass density = 4.7 g/cm³
! symmetry = Pm-3m, No. 221
! crystal system = cubic
! excess energy over the best structure of this formula in the dataset = 0 meV/atom
&SYSTEM
  ibrav = 0, nat = 5, ntyp = 3
/
ATOMIC_SPECIES
Mo 95.94 Mo.upf
S 32.06 S.upf
In 114.82 In.upf
ATOMIC_POSITIONS angstrom
Mo 0.000 0.000 0.000
S 0.159 -2.371 0.085
S 2.227 0.178 0.813
S -0.817 0.025 2.233
In 1.569 -2.168 3.130
CELL_PARAMETERS angstrom
-1.633 0.050 4.465
0.317 -4.741 0.169
4.454 0.356 1.625

---

! InMoS2 | the Alexandria database | GGA-PBE | optimized geometry; values from VASP
! mass density = 5.6 g/cm³
! symmetry = P6_3/mmc, No. 194
! crystal system = hexagonal
&SYSTEM
  ibrav = 0, nat = 8, ntyp = 3
/
ATOMIC_SPECIES
In 114.82 In.upf
Mo 95.94 Mo.upf
S 32.06 S.upf
ATOMIC_POSITIONS angstrom
In -8.983 -1.354 1.705
In 0.000 0.000 0.000
Mo -4.491 -0.677 0.853
Mo -13.474 -2.032 2.558
S -5.606 -2.385 2.175
S -11.837 -3.474 1.486
S -14.903 -3.937 2.068
S -2.540 -1.923 1.593
CELL_PARAMETERS angstrom
-0.210 -1.871 -2.592
0.733 -1.280 2.844
-17.965 -2.709 3.410

---

! Sr2InMoS | the Alexandria database | GGA-PBE | optimized geometry; values from VASP
! mass density = 3.4 g/cm³
! symmetry = P4/mmm, No. 123
! crystal system = tetragonal
&SYSTEM
  ibrav = 0, nat = 5, ntyp = 4
/
ATOMIC_SPECIES
Sr 87.62 Sr.upf
Mo 95.94 Mo.upf
S 32.06 S.upf
In 114.82 In.upf
ATOMIC_POSITIONS angstrom
Sr 0.000 0.000 3.162
Sr 3.162 0.000 0.000
Mo 3.162 2.571 3.162
S 0.000 2.571 0.000
In 0.000 0.000 0.000
CELL_PARAMETERS angstrom
6.323 0.000 0.000
0.000 5.142 0.000
0.000 0.000 6.323

---

no.,magnetic moment (Bohr magnetons per cell),formation energy (no corrections) (kJ/mol of formula units)
1,0.00,110.5
2,0.00,-178.3
3,1.15,385.1
4,0.00,222.4
5,0.00,548.9
6,0.00,-938.8
7,0.00,191.8
8,0.00,-54.2
9,3.12,365.5
10,2.98,449.5
11,0.00,79.1
12,0.00,-91.9
13,0.00,-219.7
14,4.78,424.1